# 1
This record from the Alexandria database describes an optimized crystal structure of Pm2Y2Hg. The functional is PBE.

The structure in POSCAR format:
```
Pm2Y2Hg
1.0
-2.579 2.579 12.338
2.579 -2.579 12.338
2.579 2.579 -12.338
Pm Y Hg
4 4 2
direct
0.046 0.296 0.750
0.296 0.046 0.250
0.704 0.954 0.750
0.954 0.704 0.250
0.195 0.445 0.750
0.445 0.195 0.250
0.555 0.805 0.750
0.805 0.555 0.250
0.125 0.875 0.250
0.875 0.125 0.750
```

- space-group type = I4_1/amd, No. 141

# 2
This record from the Alexandria database describes an optimized crystal structure of Ti3As2POs3. The functional is PBE.

The structure in POSCAR format:
```
Ti3As2POs3
1.0
7.124 0.000 0.000
-3.562 6.170 0.000
0.000 0.000 2.968
Ti As P Os
3 2 1 3
direct
0.000 0.370 0.000
0.370 0.000 0.000
0.630 0.630 0.000
0.333 0.667 0.500
0.667 0.333 0.500
0.000 0.000 0.000
0.000 0.714 0.500
0.286 0.286 0.500
0.714 0.000 0.500
```

- space-group type = P-62m, No. 189

Number 1: formation enthalpy at 0 K -60.5 meV/atom, calculated volume 32.8 A^3/atom. Number 2: formation enthalpy at 0 K -440.7 meV/atom, calculated volume 14.5 A^3/atom.